Run w
Computed, not measured: a relaxed NaMnVO4 crystal at the PBE+U level of DFT.

Cell lengths 9.7200, 6.9535, 5.3836 Å; angles 90.00, 90.00, 90.00 degrees
Last column: nearest neighbours and their distance in Å.
Space group Pnma (No. 62)
Unique sites:
Na: 0.1487 0.2500 0.0145  4 O 2.30-2.47
Mn: 0.0000 0.0000 0.5000  4 O 2.11-2.22
V: 0.1798 0.7500 0.0205  4 O 1.72-1.79
O: 0.1149 0.5528 0.1747  1 V 1.72
O: 0.1217 0.7500 0.7096  1 V 1.77
O: 0.1377 0.2500 0.5613  1 V 1.79

Results
- N(E_F): 0.000 states/eV per atom
- Crystal system: orthorhombic
- M_tot: 5.0 μB per formula unit

---

Run x
Computed, not measured: a relaxed NaMnVO4 crystal at the PBE+U level of DFT.

Cell lengths 5.5900, 5.8910, 6.4063 Å; angles 90.00, 104.60, 90.00 degrees
Last column: nearest neighbours and their distance in Å.
Space group P2_1/m (No. 11)
Unique sites:
Na: 0.2366 0.2500 0.4377  2 O 2.28-2.32
Mn: 0.3300 0.2500 0.9678  3 O 2.15-2.16
V: 0.2073 0.7500 0.1597  4 O 1.70-1.78
O: 0.0141 0.2500 0.6914  1 V 1.74
O: 0.0425 0.7500 0.8982  1 V 1.70
O: 0.4182 0.5183 0.2022  1 V 1.78

Results
- N(E_F): 0.000 states/eV per atom
- Crystal system: monoclinic
- M_tot: 5.0 μB per formula unit

---

Relative energies, in eV/atom, with the most stable structure set to zero: run w 0.000; run x 0.097.